# 1
GGA-PBE LaNd2Th, optimized geometry; spin magnetization = 0.00 μB/cell; offset from the most stable computed form = 3.3 kJ/mol of atoms; space group = P4/mmm (123); ΔH_f (0 K) = 6 kJ per mole of atoms; volume = 138.4 Å³ per cell
1.0
5.162 0.000 0.000
0.000 5.178 0.000
0.000 0.000 5.178
Th Nd La
1 2 1
Direct
0.500 0.000 0.000
0.000 0.000 0.500
0.000 0.500 0.000
0.500 0.500 0.500

---

# 2
GGA-PBE LaNdTh2, optimized geometry; spin magnetization = 0.00 μB/cell; offset from the most stable computed form = 0.0 kJ/mol of atoms; space group = P2_1/m (11); ΔH_f (0 K) = 2 kJ per mole of atoms; volume = 271.6 Å³ per cell
1.0
-3.576 3.327 -1.437
-0.733 -2.653 -4.318
-3.698 -9.063 6.197
Th Nd La
4 2 2
Direct
0.885 0.250 0.885
0.115 0.750 0.115
0.383 0.750 0.883
0.617 0.250 0.117
0.641 0.750 0.640
0.359 0.250 0.360
0.140 0.250 0.639
0.860 0.750 0.361

---

# 3
GGA-PBE LaNd6Th2, optimized geometry; spin magnetization = 0.00 μB/cell; space group = P-6m2 (187); ΔH_f (0 K) = 8 kJ per mole of atoms; volume = 314.8 Å³ per cell
1.0
3.634 0.000 0.000
-1.817 3.147 0.000
0.000 0.000 27.518
Th Nd La
2 6 1
Direct
0.667 0.333 0.669
0.667 0.333 0.331
0.333 0.667 0.223
0.333 0.667 0.563
0.667 0.333 0.888
0.667 0.333 0.112
0.333 0.667 0.437
0.333 0.667 0.777
0.333 0.667 0.000

---

# 4
GGA-PBE La2Nd12Th, optimized geometry; spin magnetization = 0.00 μB/cell; space group = P4/nbm (125); ΔH_f (0 K) = 31 kJ per mole of atoms; volume = 1123.2 Å³ per cell
1.0
-2.935 4.299 4.124
-4.086 -4.798 2.094
16.623 -6.181 18.276
Nd La Th
24 4 2
Direct
0.832 0.668 0.438
0.808 0.308 0.890
0.000 0.000 0.787
0.332 0.168 0.562
0.500 0.500 0.213
0.000 0.000 0.663
0.692 0.808 0.890
0.500 0.500 0.787
0.192 0.308 0.110
0.168 0.332 0.438
0.192 0.692 0.890
0.832 0.332 0.562
0.308 0.808 0.110
0.000 0.000 0.337
0.332 0.832 0.438
0.000 0.000 0.213
0.168 0.668 0.562
0.308 0.192 0.890
0.668 0.168 0.438
0.808 0.692 0.110
0.500 0.500 0.337
0.692 0.192 0.110
0.668 0.832 0.562
0.500 0.500 0.663
0.500 0.000 0.265
0.000 0.500 0.265
0.500 0.000 0.735
0.000 0.500 0.735
0.500 0.000 0.000
0.000 0.500 0.000

---

# 5
GGA-PBE La14NdTh, optimized geometry; spin magnetization = 0.00 μB/cell; space group = Cmmm (65); ΔH_f (0 K) = 1 kJ per mole of atoms; volume = 575.3 Å³ per cell
1.0
-7.324 -0.552 -0.876
1.019 -2.525 -6.877
0.304 -9.852 3.662
Th La Nd
1 14 1
Direct
0.375 0.625 0.000
0.875 0.125 0.500
0.619 0.869 0.246
0.375 0.125 0.500
0.875 0.625 0.500
0.375 0.125 0.000
0.875 0.625 0.000
0.131 0.869 0.755
0.619 0.381 0.246
0.375 0.625 0.500
0.619 0.869 0.754
0.619 0.381 0.754
0.131 0.869 0.245
0.131 0.381 0.246
0.131 0.381 0.754
0.875 0.125 0.000

---

# 6
GGA-PBE La7Nd12Th, optimized geometry; spin magnetization = 0.00 μB/cell; offset from the most stable computed form = 36.4 kJ/mol of atoms; space group = Im-3 (204); ΔH_f (0 K) = 56 kJ per mole of atoms; volume = 807.0 Å³ per cell
1.0
-4.817 -6.691 -5.935
9.695 0.765 -2.935
-0.378 -3.148 9.651
La Nd Th
7 12 1
Direct
0.000 0.500 0.000
0.500 0.000 0.000
0.000 0.500 0.500
0.000 0.000 0.500
0.500 0.000 0.500
0.500 0.500 0.000
0.500 0.500 0.500
0.450 0.231 0.219
0.231 0.781 0.012
0.012 0.231 0.781
0.769 0.781 0.550
0.231 0.219 0.450
0.219 0.450 0.231
0.988 0.769 0.219
0.781 0.012 0.231
0.219 0.988 0.769
0.550 0.769 0.781
0.769 0.219 0.988
0.781 0.550 0.769
0.000 0.000 0.000

---

# 7
GGA-PBE LaNdTh, optimized geometry; spin magnetization = 0.00 μB/cell; offset from the most stable computed form = 0.0 kJ/mol of atoms; space group = I4mm (107); ΔH_f (0 K) = 2 kJ per mole of atoms; volume = 104.2 Å³ per cell
1.0
-2.583 -1.719 1.906
1.453 -3.209 -0.924
5.133 2.690 5.902
Nd Th La
1 1 1
Direct
0.322 0.322 0.643
0.667 0.667 0.334
0.011 0.011 0.023

---

# 8
GGA-PBE La2Nd5Th, optimized geometry; spin magnetization = 0.00 μB/cell; space group = Pbam (55); ΔH_f (0 K) = 3 kJ per mole of atoms; volume = 564.6 Å³ per cell
1.0
5.251 0.000 0.000
0.000 7.330 0.000
0.000 0.000 14.669
Nd La Th
10 4 2
Direct
0.000 0.000 0.000
0.000 0.495 0.247
0.000 0.500 0.500
0.500 0.761 0.620
0.000 0.005 0.747
0.500 0.261 0.880
0.500 0.239 0.380
0.500 0.739 0.120
0.000 0.505 0.753
0.000 0.995 0.253
0.500 0.754 0.378
0.500 0.246 0.622
0.500 0.746 0.878
0.500 0.254 0.122
0.000 0.000 0.500
0.000 0.500 0.000

---

# 9
GGA-PBE La4NdTh2, optimized geometry; spin magnetization = 0.00 μB/cell; space group = R-3m (166); ΔH_f (0 K) = 4 kJ per mole of atoms; volume = 246.9 Å³ per cell
1.0
3.668 0.000 0.345
1.818 3.186 0.345
-0.136 -0.079 21.110
La Th Nd
4 2 1
Direct
0.903 0.903 0.292
0.619 0.619 0.143
0.381 0.381 0.857
0.097 0.097 0.708
0.811 0.811 0.568
0.189 0.189 0.432
0.000 0.000 0.000

---

# 10
GGA-PBE La7Nd12Th, optimized geometry; spin magnetization = 0.00 μB/cell; offset from the most stable computed form = 0.0 kJ/mol of atoms; space group = R-3 (148); ΔH_f (0 K) = 19 kJ per mole of atoms; volume = 720.3 Å³ per cell
1.0
-2.094 8.075 3.285
-2.875 -3.955 7.514
8.293 0.638 3.345
Nd Th La
12 1 7
Direct
0.251 0.719 0.861
0.719 0.861 0.251
0.749 0.281 0.139
0.540 0.438 0.838
0.162 0.460 0.562
0.281 0.139 0.749
0.838 0.540 0.438
0.861 0.251 0.719
0.139 0.749 0.281
0.438 0.838 0.540
0.460 0.562 0.162
0.562 0.162 0.460
0.000 0.000 0.000
0.377 0.055 0.125
0.945 0.875 0.623
0.055 0.125 0.377
0.500 0.500 0.500
0.125 0.377 0.055
0.623 0.945 0.875
0.875 0.623 0.945

---

# 11
GGA-PBE La8NdTh3, optimized geometry; spin magnetization = 0.00 μB/cell; space group = P-31m (162); ΔH_f (0 K) = 3 kJ per mole of atoms; volume = 425.7 Å³ per cell
1.0
-0.516 -0.962 -6.306
4.525 -3.051 3.342
-7.599 -9.073 2.006
La Th Nd
8 3 1
Direct
0.333 0.667 0.500
0.667 0.000 0.760
0.667 0.333 0.500
0.000 0.667 0.760
0.333 0.000 0.240
0.333 0.333 0.760
0.000 0.333 0.240
0.667 0.667 0.240
0.333 0.667 0.000
0.667 0.333 0.000
0.000 0.000 0.000
0.000 0.000 0.500

---

# 12
GGA-PBE LaNdTh2, optimized geometry; spin magnetization = 0.00 μB/cell; offset from the most stable computed form = 3.2 kJ/mol of atoms; space group = R3m (160); ΔH_f (0 K) = 6 kJ per mole of atoms; volume = 135.2 Å³ per cell
1.0
3.620 0.000 0.000
1.810 3.135 0.000
1.810 1.045 11.913
Th La Nd
2 1 1
Direct
0.083 0.083 0.751
0.250 0.250 0.250
0.498 0.498 0.505
0.668 0.668 0.995

---

# 13
GGA-PBE LaNdTh, optimized geometry; spin magnetization = 0.00 μB/cell; offset from the most stable computed form = 18.9 kJ/mol of atoms; space group = Pmma (51); ΔH_f (0 K) = 21 kJ per mole of atoms; volume = 207.5 Å³ per cell
1.0
-2.531 -0.911 2.269
5.496 -5.953 3.739
2.125 4.615 4.224
Nd Th La
2 2 2
Direct
0.000 0.500 0.500
0.000 0.500 0.000
0.000 0.153 0.750
0.000 0.847 0.250
0.500 0.825 0.750
0.500 0.175 0.250

---

# 14
GGA-PBE La6Nd5Th, optimized geometry; spin magnetization = 0.00 μB/cell; space group = P-1 (2); ΔH_f (0 K) = 2 kJ per mole of atoms; volume = 428.9 Å³ per cell
1.0
5.019 0.015 -1.463
-1.428 9.195 -4.775
0.117 -0.850 9.736
La Nd Th
6 5 1
Direct
0.163 0.916 0.327
0.500 0.756 0.000
0.163 0.411 0.327
0.837 0.084 0.673
0.500 0.244 0.000
0.837 0.589 0.673
0.339 0.839 0.677
0.667 0.667 0.334
0.661 0.161 0.323
0.333 0.333 0.666
0.000 0.500 0.000
0.000 0.000 0.000

---

# 15
GGA-PBE La7Nd3Th2, optimized geometry; spin magnetization = 0.00 μB/cell; space group = P2/m (10); ΔH_f (0 K) = 11 kJ per mole of atoms; volume = 431.8 Å³ per cell
1.0
3.645 0.000 0.000
0.000 5.971 -0.964
0.000 -1.628 20.104
Nd La Th
3 7 2
Direct
0.000 0.139 0.363
0.500 0.500 0.000
0.000 0.861 0.637
0.000 0.000 0.000
0.500 0.001 0.819
0.000 0.473 0.147
0.000 0.527 0.853
0.500 0.720 0.461
0.500 0.999 0.181
0.500 0.280 0.539
0.500 0.417 0.704
0.500 0.583 0.296

---

# 16
GGA-PBE La3Nd5Th, optimized geometry; spin magnetization = 0.00 μB/cell; space group = P6_3/mcm (193); ΔH_f (0 K) = 6 kJ per mole of atoms; volume = 634.1 Å³ per cell
1.0
7.090 0.000 0.000
0.000 10.162 0.000
0.000 -5.081 8.801
Nd La Th
10 6 2
Direct
0.000 0.667 0.333
0.250 0.674 0.674
0.750 0.326 0.326
0.000 0.333 0.667
0.750 0.000 0.674
0.250 0.326 0.000
0.500 0.333 0.667
0.750 0.674 0.000
0.500 0.667 0.333
0.250 0.000 0.326
0.250 0.668 0.000
0.250 0.332 0.332
0.250 0.000 0.668
0.750 0.332 0.000
0.750 0.000 0.332
0.750 0.668 0.668
0.000 0.000 0.000
0.500 0.000 0.000

---

# 17
GGA-PBE LaNd4Th2, optimized geometry; spin magnetization = 0.00 μB/cell; space group = P2/m (10); ΔH_f (0 K) = 33 kJ per mole of atoms; volume = 256.3 Å³ per cell
1.0
-0.065 4.562 -3.368
-2.358 -5.980 -8.060
-3.429 2.685 3.704
Nd La Th
4 1 2
Direct
0.500 0.291 0.381
0.000 0.278 0.783
0.500 0.709 0.619
0.000 0.722 0.217
0.000 0.000 0.000
0.500 0.000 0.500
0.000 0.500 0.500

---

# 18
GGA-PBE La12NdTh7, optimized geometry; spin magnetization = 0.11 μB/cell; space group = Im-3 (204); ΔH_f (0 K) = 74 kJ per mole of atoms; volume = 811.1 Å³ per cell
1.0
-2.998 3.696 -8.994
-6.620 -7.060 3.143
0.394 7.551 6.809
Th La Nd
7 12 1
Direct
0.500 0.000 0.500
0.500 0.500 0.500
0.000 0.500 0.500
0.500 0.000 0.000
0.000 0.000 0.500
0.500 0.500 0.000
0.000 0.500 0.000
0.533 0.311 0.222
0.222 0.912 0.689
0.912 0.689 0.222
0.689 0.778 0.467
0.088 0.311 0.778
0.311 0.778 0.088
0.689 0.222 0.912
0.778 0.467 0.689
0.311 0.222 0.533
0.778 0.088 0.311
0.222 0.533 0.311
0.467 0.689 0.778
0.000 0.000 0.000

---

# 19
GGA-PBE La3Nd4Th, optimized geometry; spin magnetization = 0.00 μB/cell; space group = C2/m (12); ΔH_f (0 K) = 19 kJ per mole of atoms; volume = 287.3 Å³ per cell
1.0
-3.143 -0.899 1.321
2.821 -3.937 4.036
1.972 10.711 7.276
La Nd Th
3 4 1
Direct
0.856 0.252 0.712
0.000 0.500 0.000
0.144 0.748 0.288
0.106 0.230 0.211
0.894 0.770 0.789
0.278 0.761 0.555
0.722 0.239 0.445
0.500 0.000 0.000

---

# 20
GGA-PBE La3Nd6Th2, optimized geometry; spin magnetization = 0.00 μB/cell; space group = R-3m (166); ΔH_f (0 K) = 15 kJ per mole of atoms; volume = 387.7 Å³ per cell
1.0
5.788 0.000 0.355
2.883 5.019 0.355
2.076 1.201 13.517
Nd La Th
6 3 2
Direct
0.099 0.099 0.704
0.815 0.815 0.556
0.641 0.641 0.077
0.185 0.185 0.444
0.359 0.359 0.923
0.901 0.901 0.296
0.270 0.270 0.191
0.000 0.000 0.000
0.730 0.730 0.809
0.450 0.450 0.649
0.550 0.550 0.351